The following is a DFT calculation (GGA-PBE) of a relaxed BaAg2BF8 crystal.

Computed properties:
- Formation energy (no corrections): -25.3 eV per formula unit
- Crystal system: trigonal

Cell: 5.2026 5.2026 7.0227 Å, 90.00 90.00 120.00°
Space group P-3m1 (No. 164)
Asymmetric unit:
Ba 0.0000 0.0000 0.0000
Ag 0.3333 0.6667 0.3647
B 0.0000 0.0000 0.5000
F 0.1472 0.2945 0.6367
F 0.3333 0.6667 0.0597

The following is a DFT calculation (GGA-PBE) of a relaxed PmNd3Dy crystal.

Computed properties:
- Crystal system: orthorhombic
- ΔE_f: 321.4 meV per atom
- Polymorph energy (0 for the lowest one): 137 meV/atom

Cell: 8.140 14.113 6.239 Å, 90.00 90.00 90.00°
Space group Cmcm (No. 63)
Asymmetric unit:
Pm 0.000 0.201 0.250
Nd 0.000 0.000 0.000
Nd 0.199 0.399 0.250
Dy 0.000 0.332 0.750

The following is a DFT calculation (GGA-PBE) of a relaxed K3NbS4O16 crystal.

Computed properties:
- Formation energy (no corrections): -42.3 eV per formula unit
- Crystal system: orthorhombic

Cell: 8.223 12.695 14.938 Å, 90.00 90.00 90.00°
Space group Pnma (No. 62)
Asymmetric unit:
K 0.127 0.011 0.234
K 0.139 0.250 0.935
Nb 0.153 0.250 0.494
S 0.054 0.750 0.658
S 0.115 0.250 0.683
S 0.227 0.544 0.980
O 0.012 0.750 0.392
O 0.096 0.750 0.558
O 0.101 0.090 0.500
O 0.106 0.654 0.702
O 0.108 0.154 0.737
O 0.135 0.250 0.353
O 0.141 0.652 0.967
O 0.165 0.013 0.056
O 0.227 0.016 0.897
O 0.231 0.750 0.123

The following is a DFT calculation (GGA-PBE) of a relaxed Pt2RhO6 crystal.

Computed properties:
- Formation energy (no corrections): -4.5 eV per formula unit
- Crystal system: monoclinic
- Polymorph energy (0 for the lowest one): 0 meV/atom

Cell: 13.286 3.144 6.036 Å, 90.00 99.69 90.00°
Space group C2/m (No. 12)
Asymmetric unit:
Pt 0.167 0.000 0.331
Rh 0.000 0.500 0.000
O 0.015 0.000 0.216
O 0.155 0.500 0.112
O 0.178 0.500 0.553

The following is a DFT calculation (GGA-PBE) of a relaxed Ga2Bi2I crystal.

Computed properties:
- Formation energy (no corrections): -0.3 eV per formula unit
- Crystal system: tetragonal
- Polymorph energy (0 for the lowest one): 0 meV/atom

Cell: 4.206 4.206 17.075 Å, 90.00 90.00 90.00°
Space group I4/mmm (No. 139)
Asymmetric unit:
Ga 0.000 0.500 0.250
Bi 0.000 0.000 0.130
I 0.000 0.000 0.500

The following is a DFT calculation (GGA-PBE) of a relaxed La9Ni2Rh4 crystal.

Computed properties:
- Crystal system: trigonal
- ΔE_f: -502.6 meV per atom

Cell: 7.1693 7.1693 19.7347 Å, 90.00 90.00 120.00°
Space group P-3c1 (No. 165)
Asymmetric unit:
La 0.0000 0.3425 0.2500
La 0.0070 0.3306 0.9169
Ni 0.0000 0.0000 0.1777
Rh 0.3333 0.6667 0.0040
Rh 0.3333 0.6667 0.1619

The following is a DFT calculation (GGA-PBE) of a relaxed Zr2ZnSi crystal.

Computed properties:
- Formation energy (no corrections): -1.5 eV per formula unit
- Crystal system: monoclinic

Cell: 6.458 3.733 7.088 Å, 90.00 107.74 90.00°
Space group C2/m (No. 12)
Asymmetric unit:
Zr 0.242 0.000 0.226
Zn 0.000 0.000 0.500
Si 0.000 0.500 0.000

The following is a DFT calculation (GGA-PBE) of a relaxed Tb2Pm2Ho4Er crystal.

Computed properties:
- Crystal system: monoclinic
- ΔE_f: -1.5 meV per atom

Cell: 18.626 3.589 9.538 Å, 90.00 115.71 90.00°
Space group C2/m (No. 12)
Asymmetric unit:
Tb 0.147 0.000 0.163
Pm 0.165 0.500 0.500
Ho 0.019 0.500 0.834
Ho 0.185 0.000 0.835
Er 0.000 0.000 0.500

The following is a DFT calculation (GGA-PBE) of a relaxed LiLaBe2Re crystal.

Computed properties:
- Crystal system: tetragonal
- ΔE_f: 1307.2 meV per atom

Cell: 4.185 4.185 4.860 Å, 90.00 90.00 90.00°
Space group P4/mmm (No. 123)
Asymmetric unit:
Li 0.000 0.000 0.000
La 0.000 0.000 0.500
Be 0.000 0.500 0.000
Re 0.500 0.500 0.500

The following is a DFT calculation (GGA-PBE) of a relaxed AcLaGeI crystal.

Computed properties:
- Formation energy (no corrections): -3.2 eV per formula unit
- Crystal system: cubic
- Polymorph energy (0 for the lowest one): 237 meV/atom

Cell: 7.898 7.898 7.898 Å, 90.00 90.00 90.00°
Space group F-43m (No. 216)
Asymmetric unit:
Ac 0.000 0.000 0.000
La 0.000 0.000 0.500
Ge 0.250 0.250 0.250
I 0.250 0.250 0.750

The following is a DFT calculation (GGA-PBE) of a relaxed Tb2SbPRh6 crystal.

Computed properties:
- Formation energy (no corrections): -6.5 eV per formula unit
- Crystal system: orthorhombic

Cell: 5.838 8.684 7.609 Å, 90.00 90.00 90.00°
Space group Pmmn (No. 59, origin choice 2)
Asymmetric unit:
Tb 0.250 0.018 0.240
Sb 0.250 0.750 0.804
P 0.250 0.250 0.711
Rh 0.015 0.750 0.086
Rh 0.017 0.750 0.499
Rh 0.250 0.002 0.621

The following is a DFT calculation (GGA-PBE) of a relaxed TbPuCuGe crystal.

Computed properties:
- Crystal system: cubic
- ΔE_f: -331.1 meV per atom

Cell: 7.066 7.066 7.066 Å, 90.00 90.00 90.00°
Space group F-43m (No. 216)
Asymmetric unit:
Tb 0.000 0.000 0.000
Pu 0.000 0.000 0.500
Cu 0.250 0.250 0.750
Ge 0.250 0.250 0.250

Number 1: total energy -4.549 eV per atom. Number 2: total energy -4.410 eV per atom. Number 3: total energy -6.314 eV per atom. Number 4: total energy -5.969 eV per atom. Number 5: total energy -3.129 eV per atom. Number 6: total energy -6.190 eV per atom. Number 7: total energy -6.325 eV per atom. Number 8: total energy -4.628 eV per atom. Number 9: total energy -4.041 eV per atom. Number 10: total energy -4.602 eV per atom. Number 11: total energy -6.941 eV per atom. Number 12: total energy -7.250 eV per atom.